Below is an optimized crystal structure of Cs2InMo3F12, with properties calculated at the PBE with a Hubbard U level.

abc: 8.051 8.051 8.051
angles: 59.74 59.74 59.74
Sites, in units of the cell vectors:
Cs: 0.124 0.124 0.124
Cs: 0.876 0.876 0.876
In: 0.500 0.500 0.500
Mo: 0.000 0.500 0.500
Mo: 0.500 0.000 0.500
Mo: 0.500 0.500 0.000
F: 0.077 0.618 0.618
F: 0.212 0.212 0.605
F: 0.212 0.605 0.212
F: 0.382 0.382 0.923
F: 0.382 0.923 0.382
F: 0.395 0.788 0.788
F: 0.605 0.212 0.212
F: 0.618 0.077 0.618
F: 0.618 0.618 0.077
F: 0.788 0.395 0.788
F: 0.788 0.788 0.395
F: 0.923 0.382 0.382

**Calculated total energy**: -5.24 eV per atom